A geometry-optimized Li2Ac2MoO6 structure. Source: the Alexandria database, functional GGA+U.

Computed properties:
As for the energy: -6.674 eV/atom.

a = 5.6021 Å, b = 5.6021 Å, c = 5.7914 Å
α = 90.00°, β = 90.00°, γ = 120.00°
Space group P-3 (No. 147)
Unique sites:
Li1 0.3333 0.6667 0.3839 (multiplicity 2)
Ac1 0.3333 0.6667 0.8801 (multiplicity 2)
Mo1 0.0000 0.0000 0.5000 (multiplicity 1)
O1 0.0489 0.3245 0.2801 (multiplicity 6)